MnIrNF2 after structural relaxation. Source: the Alexandria database, functional GGA+U.

```
MnIrNF2
1.0
-2.1073 2.2258 2.1564
-3.0839 -1.7639 -1.1930
0.3766 -3.0054 3.4701
N Ir Mn F
1 1 1 2
Direct
0.0000 0.0000 0.5000
0.5000 0.5000 0.5000
0.0000 0.0000 0.0000
0.0000 0.5000 0.0000
0.5000 0.0000 0.0000
```

Computed properties:
* density of states at the Fermi level: 0.810 states/eV/atom
* E: -27.80 eV per formula unit
* offset from the most stable computed form: 0.4085 eV/atom